# Y7HoTh3 PBE-GGA optimized geometry
# Fermi-level density of states: 18.8 states/eV/cell
# Spin magnetization: 0.0 μB/f.u.
# Final energy: -6.40 eV/atom
# Energy of formation: 0.16 eV/atom
data_Y7HoTh3
_cell_length_a 6.457
_cell_length_b 6.720
_cell_length_c 8.693
_cell_angle_alpha 101.40
_cell_angle_beta 96.99
_cell_angle_gamma 96.78
_space_group_name_H-M_alt 'P -1'
_space_group_IT_number 2
_space_group_name_Hall '-P 1'
loop_
_atom_site_label
_atom_site_type_symbol
_atom_site_fract_x
_atom_site_fract_y
_atom_site_fract_z
Y1 Y 0.000 0.000 0.000
Y2 Y 0.069 0.715 0.645
Y3 Y 0.206 0.231 0.705
Y4 Y 0.492 0.731 0.924
Ho1 Ho 0.000 0.500 0.000
Th1 Th 0.325 0.945 0.337
Th2 Th 0.500 0.500 0.500


# Cs2In2Te PBE-GGA optimized geometry
# E_form (uncorrected): -0.27 eV/atom
# Fermi-level density of states: 0.7 states/eV/cell
# Spin magnetization: 0.0 μB/f.u.
# Final energy: -2.34 eV/atom
data_Cs2In2Te
_cell_length_a 8.421
_cell_length_b 8.421
_cell_length_c 6.260
_cell_angle_alpha 90.00
_cell_angle_beta 90.00
_cell_angle_gamma 90.00
_space_group_name_H-M_alt 'P 4/m b m'
_space_group_IT_number 127
_space_group_name_Hall '-P 4 2ab'
loop_
_atom_site_label
_atom_site_type_symbol
_atom_site_fract_x
_atom_site_fract_y
_atom_site_fract_z
Cs1 Cs 0.193 0.307 0.000
In1 In 0.123 0.623 0.500
Te1 Te 0.000 0.000 0.500


# CaCoH3 PBE-GGA optimized geometry
# Fermi-level density of states: 4.1 states/eV/cell
# Spin magnetization: 1.2 μB/f.u.
# Final energy: -4.00 eV/atom
data_CaCoH3
_cell_length_a 3.4655
_cell_length_b 3.4655
_cell_length_c 9.6616
_cell_angle_alpha 90.00
_cell_angle_beta 90.00
_cell_angle_gamma 120.00
_space_group_name_H-M_alt 'P 63/m m c'
_space_group_IT_number 194
_space_group_name_Hall '-P 6c 2c'
loop_
_atom_site_label
_atom_site_type_symbol
_atom_site_fract_x
_atom_site_fract_y
_atom_site_fract_z
Ca1 Ca 0.0000 0.0000 0.0000
Co1 Co 0.3333 0.6667 0.2500
H1 H 0.0000 0.0000 0.2500
H2 H 0.3333 0.6667 0.0871


# Li2AcBiS4 PBE-GGA optimized geometry
# E_form (uncorrected): -1.21 eV/atom
# Fermi-level density of states: 0.0 states/eV/cell
# Spin magnetization: 0.0 μB/f.u.
# Final energy: -4.75 eV/atom
data_Li2AcBiS4
_cell_length_a 6.890
_cell_length_b 6.890
_cell_length_c 7.912
_cell_angle_alpha 90.00
_cell_angle_beta 90.00
_cell_angle_gamma 90.00
_space_group_name_H-M_alt 'I -4 2 m'
_space_group_IT_number 121
_space_group_name_Hall 'I -4 2'
loop_
_atom_site_label
_atom_site_type_symbol
_atom_site_fract_x
_atom_site_fract_y
_atom_site_fract_z
Li1 Li 0.000 0.500 0.250
Ac1 Ac 0.000 0.000 0.000
Bi1 Bi 0.000 0.000 0.500
S1 S 0.230 0.230 0.694


# Ce2Nd3HoS6 PBE-GGA optimized geometry
# E_form (uncorrected): -2.03 eV/atom
# Fermi-level density of states: 25.3 states/eV/cell
# Spin magnetization: 1.5 μB/f.u.
# Final energy: -6.65 eV/atom
data_Ce2Nd3HoS6
_cell_length_a 6.964
_cell_length_b 12.076
_cell_length_c 6.977
_cell_angle_alpha 90.00
_cell_angle_beta 109.54
_cell_angle_gamma 90.00
_space_group_name_H-M_alt 'C 1 2/m 1'
_space_group_IT_number 12
_space_group_name_Hall '-C 2y'
loop_
_atom_site_label
_atom_site_type_symbol
_atom_site_fract_x
_atom_site_fract_y
_atom_site_fract_z
Ce1 Ce 0.000 0.166 0.000
Nd1 Nd 0.000 0.000 0.500
Nd2 Nd 0.000 0.332 0.500
Ho1 Ho 0.000 0.500 0.000
S1 S 0.244 0.337 0.241
S2 S 0.245 0.500 0.757


# Sr2BeAg PBE-GGA optimized geometry
# Fermi-level density of states: 3.8 states/eV/cell
# Spin magnetization: 0.0 μB/f.u.
# Final energy: -2.18 eV/atom
# Energy of formation: 0.31 eV/atom
data_Sr2BeAg
_cell_length_a 4.572
_cell_length_b 4.572
_cell_length_c 6.483
_cell_angle_alpha 90.00
_cell_angle_beta 90.00
_cell_angle_gamma 90.00
_space_group_name_H-M_alt 'P 4 m m'
_space_group_IT_number 99
_space_group_name_Hall 'P 4 -2'
loop_
_atom_site_label
_atom_site_type_symbol
_atom_site_fract_x
_atom_site_fract_y
_atom_site_fract_z
Sr1 Sr 0.000 0.000 0.000
Sr2 Sr 0.500 0.500 0.481
Be1 Be 0.500 0.500 0.977
Ag1 Ag 0.000 0.000 0.503


# CsInMo3 PBE-GGA optimized geometry
# Fermi-level density of states: 5.9 states/eV/cell
# Spin magnetization: 2.1 μB/f.u.
# Final energy: -4.21 eV/atom
# Energy of formation: 3.00 eV/atom
data_CsInMo3
_cell_length_a 4.936
_cell_length_b 4.936
_cell_length_c 4.936
_cell_angle_alpha 90.00
_cell_angle_beta 90.00
_cell_angle_gamma 90.00
_space_group_name_H-M_alt 'P m -3 m'
_space_group_IT_number 221
_space_group_name_Hall '-P 4 2 3'
loop_
_atom_site_label
_atom_site_type_symbol
_atom_site_fract_x
_atom_site_fract_y
_atom_site_fract_z
Cs1 Cs 0.000 0.000 0.000
In1 In 0.500 0.500 0.500
Mo1 Mo 0.000 0.000 0.500


# LaPr2Sm PBE-GGA optimized geometry
# Fermi-level density of states: 11.3 states/eV/cell
# Spin magnetization: 0.0 μB/f.u.
# Final energy: -4.76 eV/atom
# Energy of formation: 0.04 eV/atom
data_LaPr2Sm
_cell_length_a 5.777
_cell_length_b 3.619
_cell_length_c 13.727
_cell_angle_alpha 90.00
_cell_angle_beta 90.00
_cell_angle_gamma 90.00
_space_group_name_H-M_alt 'A m m 2'
_space_group_IT_number 38
_space_group_name_Hall 'A 2 -2'
loop_
_atom_site_label
_atom_site_type_symbol
_atom_site_fract_x
_atom_site_fract_y
_atom_site_fract_z
La1 La 0.000 0.000 0.000
Pr1 Pr 0.000 0.000 0.747
Pr2 Pr 0.500 0.000 0.621
Sm1 Sm 0.500 0.000 0.362


# AsPtSBr2 PBE-GGA optimized geometry
# E_form (uncorrected): 0.62 eV/atom
# Fermi-level density of states: 3.7 states/eV/cell
# Spin magnetization: 1.3 μB/f.u.
# Final energy: -3.01 eV/atom
data_AsPtSBr2
_cell_length_a 5.170
_cell_length_b 5.170
_cell_length_c 4.868
_cell_angle_alpha 90.00
_cell_angle_beta 90.00
_cell_angle_gamma 90.00
_space_group_name_H-M_alt 'P 4/m m m'
_space_group_IT_number 123
_space_group_name_Hall '-P 4 2'
loop_
_atom_site_label
_atom_site_type_symbol
_atom_site_fract_x
_atom_site_fract_y
_atom_site_fract_z
As1 As 0.000 0.000 0.000
Pt1 Pt 0.000 0.000 0.500
S1 S 0.500 0.500 0.000
Br1 Br 0.000 0.500 0.500


# AcDyAl4 PBE-GGA optimized geometry
# Fermi-level density of states: 21.3 states/eV/cell
# Spin magnetization: 0.0 μB/f.u.
# Final energy: -4.34 eV/atom
# Energy of formation: -0.39 eV/atom
data_AcDyAl4
_cell_length_a 8.131
_cell_length_b 8.131
_cell_length_c 8.131
_cell_angle_alpha 90.00
_cell_angle_beta 90.00
_cell_angle_gamma 90.00
_space_group_name_H-M_alt 'F -4 3 m'
_space_group_IT_number 216
_space_group_name_Hall 'F -4 2 3'
loop_
_atom_site_label
_atom_site_type_symbol
_atom_site_fract_x
_atom_site_fract_y
_atom_site_fract_z
Ac1 Ac 0.000 0.000 0.000
Dy1 Dy 0.250 0.250 0.750
Al1 Al 0.125 0.125 0.375


# ScSn2IrRh PBE-GGA optimized geometry
# Fermi-level density of states: 2.4 states/eV/cell
# Spin magnetization: 0.0 μB/f.u.
# Final energy: -5.89 eV/atom
# Energy of formation: 0.22 eV/atom
data_ScSn2IrRh
_cell_length_a 5.010
_cell_length_b 5.010
_cell_length_c 4.905
_cell_angle_alpha 90.00
_cell_angle_beta 90.00
_cell_angle_gamma 90.00
_space_group_name_H-M_alt 'P 4/m m m'
_space_group_IT_number 123
_space_group_name_Hall '-P 4 2'
loop_
_atom_site_label
_atom_site_type_symbol
_atom_site_fract_x
_atom_site_fract_y
_atom_site_fract_z
Sc1 Sc 0.000 0.000 0.000
Sn1 Sn 0.000 0.500 0.500
Ir1 Ir 0.000 0.000 0.500
Rh1 Rh 0.500 0.500 0.000


# Hf2ZnAu2 PBE-GGA optimized geometry
# Fermi-level density of states: 6.7 states/eV/cell
# Spin magnetization: 0.0 μB/f.u.
# Final energy: -5.73 eV/atom
# Energy of formation: -0.19 eV/atom
data_Hf2ZnAu2
_cell_length_a 7.770
_cell_length_b 7.770
_cell_length_c 3.383
_cell_angle_alpha 90.00
_cell_angle_beta 90.00
_cell_angle_gamma 90.00
_space_group_name_H-M_alt 'P 4/m b m'
_space_group_IT_number 127
_space_group_name_Hall '-P 4 2ab'
loop_
_atom_site_label
_atom_site_type_symbol
_atom_site_fract_x
_atom_site_fract_y
_atom_site_fract_z
Hf1 Hf 0.167 0.333 0.000
Zn1 Zn 0.000 0.000 0.000
Au1 Au 0.132 0.632 0.500


# Nd4Sm2Tl PBE-GGA optimized geometry
# Fermi-level density of states: 20.8 states/eV/cell
# Spin magnetization: 0.0 μB/f.u.
# Final energy: -4.41 eV/atom
# Energy of formation: 0.00 eV/atom
data_Nd4Sm2Tl
_cell_length_a 6.462
_cell_length_b 11.059
_cell_length_c 6.631
_cell_angle_alpha 90.00
_cell_angle_beta 90.15
_cell_angle_gamma 90.00
_space_group_name_H-M_alt 'P 1 21/c 1'
_space_group_IT_number 14
_space_group_name_Hall '-P 2ybc'
loop_
_atom_site_label
_atom_site_type_symbol
_atom_site_fract_x
_atom_site_fract_y
_atom_site_fract_z
Nd1 Nd 0.076 0.156 0.039
Nd2 Nd 0.401 0.737 0.766
Sm1 Sm 0.248 0.032 0.548
Tl1 Tl 0.500 0.000 0.000


# SrPmIn2 PBE-GGA optimized geometry
# Fermi-level density of states: 2.7 states/eV/cell
# Spin magnetization: 0.0 μB/f.u.
# Final energy: -3.43 eV/atom
# Energy of formation: -0.45 eV/atom
data_SrPmIn2
_cell_length_a 3.928
_cell_length_b 3.928
_cell_length_c 8.048
_cell_angle_alpha 90.00
_cell_angle_beta 90.00
_cell_angle_gamma 90.00
_space_group_name_H-M_alt 'P 4/m m m'
_space_group_IT_number 123
_space_group_name_Hall '-P 4 2'
loop_
_atom_site_label
_atom_site_type_symbol
_atom_site_fract_x
_atom_site_fract_y
_atom_site_fract_z
Sr1 Sr 0.000 0.000 0.000
Pm1 Pm 0.000 0.000 0.500
In1 In 0.500 0.500 0.268


# Cs2InMo PBE-GGA optimized geometry
# Fermi-level density of states: 13.5 states/eV/cell
# Spin magnetization: 3.4 μB/f.u.
# Final energy: -2.55 eV/atom
# Energy of formation: 1.27 eV/atom
data_Cs2InMo
_cell_length_a 9.125
_cell_length_b 9.125
_cell_length_c 9.125
_cell_angle_alpha 90.00
_cell_angle_beta 90.00
_cell_angle_gamma 90.00
_space_group_name_H-M_alt 'F m -3 m'
_space_group_IT_number 225
_space_group_name_Hall '-F 4 2 3'
loop_
_atom_site_label
_atom_site_type_symbol
_atom_site_fract_x
_atom_site_fract_y
_atom_site_fract_z
Cs1 Cs 0.250 0.250 0.250
In1 In 0.000 0.000 0.000
Mo1 Mo 0.000 0.000 0.500


# LaHoCu4 PBE-GGA optimized geometry
# Fermi-level density of states: 17.9 states/eV/cell
# Spin magnetization: 0.0 μB/f.u.
# Final energy: -4.43 eV/atom
# Energy of formation: -0.11 eV/atom
data_LaHoCu4
_cell_length_a 7.548
_cell_length_b 7.548
_cell_length_c 7.548
_cell_angle_alpha 90.00
_cell_angle_beta 90.00
_cell_angle_gamma 90.00
_space_group_name_H-M_alt 'F -4 3 m'
_space_group_IT_number 216
_space_group_name_Hall 'F -4 2 3'
loop_
_atom_site_label
_atom_site_type_symbol
_atom_site_fract_x
_atom_site_fract_y
_atom_site_fract_z
La1 La 0.000 0.000 0.000
Ho1 Ho 0.250 0.250 0.250
Cu1 Cu 0.123 0.123 0.623


# Ta3PdSe PBE-GGA optimized geometry
# E_form (uncorrected): 0.96 eV/atom
# Fermi-level density of states: 8.2 states/eV/cell
# Spin magnetization: 0.0 μB/f.u.
# Final energy: -7.88 eV/atom
data_Ta3PdSe
_cell_length_a 4.687
_cell_length_b 4.687
_cell_length_c 4.687
_cell_angle_alpha 90.00
_cell_angle_beta 90.00
_cell_angle_gamma 90.00
_space_group_name_H-M_alt 'P m -3 m'
_space_group_IT_number 221
_space_group_name_Hall '-P 4 2 3'
loop_
_atom_site_label
_atom_site_type_symbol
_atom_site_fract_x
_atom_site_fract_y
_atom_site_fract_z
Ta1 Ta 0.000 0.000 0.500
Pd1 Pd 0.500 0.500 0.500
Se1 Se 0.000 0.000 0.000


# Y2MgInC PBE-GGA optimized geometry
# Fermi-level density of states: 2.5 states/eV/cell
# Spin magnetization: 0.0 μB/f.u.
# Final energy: -5.64 eV/atom
# Energy of formation: -0.34 eV/atom
data_Y2MgInC
_cell_length_a 4.959
_cell_length_b 4.959
_cell_length_c 4.458
_cell_angle_alpha 90.00
_cell_angle_beta 90.00
_cell_angle_gamma 90.00
_space_group_name_H-M_alt 'P 4/m m m'
_space_group_IT_number 123
_space_group_name_Hall '-P 4 2'
loop_
_atom_site_label
_atom_site_type_symbol
_atom_site_fract_x
_atom_site_fract_y
_atom_site_fract_z
Y1 Y 0.000 0.500 0.000
Mg1 Mg 0.000 0.000 0.500
In1 In 0.500 0.500 0.500
C1 C 0.000 0.000 0.000


# SbAs2Pb PBE-GGA optimized geometry
# E_form (uncorrected): 0.04 eV/atom
# Fermi-level density of states: 3.5 states/eV/cell
# Spin magnetization: 0.0 μB/f.u.
# Final energy: -4.25 eV/atom
data_SbAs2Pb
_cell_length_a 7.265
_cell_length_b 4.163
_cell_length_c 7.261
_cell_angle_alpha 90.00
_cell_angle_beta 108.50
_cell_angle_gamma 90.00
_space_group_name_H-M_alt 'C 1 2/m 1'
_space_group_IT_number 12
_space_group_name_Hall '-C 2y'
loop_
_atom_site_label
_atom_site_type_symbol
_atom_site_fract_x
_atom_site_fract_y
_atom_site_fract_z
Sb1 Sb 0.000 0.000 0.000
As1 As 0.245 0.500 0.234
Pb1 Pb 0.000 0.500 0.500


# Ba4MgBe PBE-GGA optimized geometry
# Fermi-level density of states: 43.7 states/eV/cell
# Spin magnetization: 0.0 μB/f.u.
# Final energy: -1.37 eV/atom
# Energy of formation: 0.80 eV/atom
data_Ba4MgBe
_cell_length_a 10.403
_cell_length_b 10.403
_cell_length_c 10.403
_cell_angle_alpha 90.00
_cell_angle_beta 90.00
_cell_angle_gamma 90.00
_space_group_name_H-M_alt 'F -4 3 m'
_space_group_IT_number 216
_space_group_name_Hall 'F -4 2 3'
loop_
_atom_site_label
_atom_site_type_symbol
_atom_site_fract_x
_atom_site_fract_y
_atom_site_fract_z
Ba1 Ba 0.125 0.125 0.125
Mg1 Mg 0.000 0.000 0.500
Be1 Be 0.250 0.250 0.750